First-principles (PBE-GGA) data for Sc2GaMo2 after structural relaxation, as listed in the Alexandria database.

Calculated values
total energy = -71.1 eV for the cell shown

Geometry as CIF:
```
data_Sc2GaMo2
_chemical_formula_sum 'Sc4 Ga2 Mo4'
_symmetry_space_group_name_H-M 'P 4/m b m'
_symmetry_Int_Tables_number 127
_symmetry_space_group_name_Hall '-P 4 2ab'
_cell_length_a 7.120
_cell_length_b 7.120
_cell_length_c 3.598
_cell_angle_alpha 90.00
_cell_angle_beta 90.00
_cell_angle_gamma 90.00
loop_
_atom_site_label
_atom_site_type_symbol
_atom_site_fract_x
_atom_site_fract_y
_atom_site_fract_z
Sc1 Sc 0.136 0.364 0.000
Ga1 Ga 0.000 0.000 0.000
Mo1 Mo 0.171 0.671 0.500
```